[1]
This record from Alexandria describes a relaxed structure of Hf5Ge5Os. The functional is PBE-GGA.

Values from the calculation:
As for the formation energy: -1.903 eV/f.u. As for the space-group type: C2/m. Its crystal system is monoclinic.

Lattice parameters (Å, degrees): 6.6804 6.6804 6.8965 106.54 106.54 47.29
Fractional positions:
Hf 0.0000 0.0000 0.0000
Hf 0.3177 0.3177 0.1713
Hf 0.3958 0.3958 0.7815
Hf 0.6042 0.6042 0.2185
Hf 0.6823 0.6823 0.8287
Ge 0.1693 0.1693 0.8067
Ge 0.1775 0.1775 0.3917
Ge 0.5000 0.5000 0.5000
Ge 0.8225 0.8225 0.6083
Ge 0.8307 0.8307 0.1933
Os 0.0000 0.0000 0.5000

=====

[2]
This record from Alexandria describes a relaxed structure of NdY4Tm15. The functional is PBE-GGA.

Values from the calculation:
As for the formation energy: 0.585 eV/f.u. As for the space-group type: P4/mmm. Its crystal system is tetragonal.

Lattice parameters (Å, degrees): 4.9694 4.9694 24.8497 90.00 90.00 90.00
Fractional positions:
Nd 0.0000 0.0000 0.0000
Y 0.0000 0.0000 0.2006
Y 0.0000 0.0000 0.4003
Y 0.0000 0.0000 0.5997
Y 0.0000 0.0000 0.7994
Tm 0.0000 0.5000 0.1009
Tm 0.0000 0.5000 0.3005
Tm 0.0000 0.5000 0.5000
Tm 0.0000 0.5000 0.6995
Tm 0.0000 0.5000 0.8991
Tm 0.5000 0.0000 0.1009
Tm 0.5000 0.0000 0.3005
Tm 0.5000 0.0000 0.5000
Tm 0.5000 0.0000 0.6995
Tm 0.5000 0.0000 0.8991
Tm 0.5000 0.5000 0.0000
Tm 0.5000 0.5000 0.2010
Tm 0.5000 0.5000 0.4001
Tm 0.5000 0.5000 0.5999
Tm 0.5000 0.5000 0.7990

=====

[3]
This record from Alexandria describes a relaxed structure of In3AgPd4. The functional is PBE-GGA.

Values from the calculation:
As for the formation energy: -3.505 eV/f.u. As for the space-group type: Pmma. Its crystal system is orthorhombic.

Lattice parameters (Å, degrees): 9.4715 6.2665 4.7270 90.00 90.00 90.00
Fractional positions:
In 0.0000 0.0000 0.0000
In 0.2500 0.0000 0.4935
In 0.2500 0.5000 0.4929
In 0.5000 0.0000 0.0000
In 0.7500 0.0000 0.5065
In 0.7500 0.5000 0.5071
Ag 0.0000 0.5000 0.0000
Ag 0.5000 0.5000 0.0000
Pd 0.0000 0.2457 0.5000
Pd 0.0000 0.7543 0.5000
Pd 0.2500 0.2446 0.9923
Pd 0.2500 0.7554 0.9923
Pd 0.5000 0.2457 0.5000
Pd 0.5000 0.7543 0.5000
Pd 0.7500 0.2446 0.0077
Pd 0.7500 0.7554 0.0077

=====

[4]
This record from Alexandria describes a relaxed structure of Hg2AuCl. The functional is PBE-GGA.

Values from the calculation:
As for the excess energy over the best structure of this formula in the dataset: 24.6 kJ per mole of atoms. As for the space-group type: Pmmm. The calculation puts the energy relative to the elements, uncorrected at 130 meV/atom. Its crystal system is orthorhombic.

Lattice parameters (Å, degrees): 3.2488 4.8657 5.8993 90.00 90.00 90.00
Fractional positions:
Hg 0.0000 0.0000 0.0000
Hg 0.5000 0.5000 0.0000
Au 0.0000 0.5000 0.5000
Cl 0.5000 0.0000 0.5000

=====

[5]
This record from Alexandria describes a relaxed structure of GdScCo2. The functional is PBE-GGA.

Values from the calculation:
As for the excess energy over the best structure of this formula in the dataset: 0.0 kJ per mole of atoms. As for the formation energy: -0.764 eV/f.u. As for the space-group type: Fm-3m. Its crystal system is cubic.

Lattice parameters (Å, degrees): 4.5988 4.5988 4.5988 60.00 60.00 60.00
Fractional positions:
Gd 0.0000 0.0000 0.0000
Sc 0.5000 0.5000 0.5000
Co 0.2500 0.2500 0.2500
Co 0.7500 0.7500 0.7500

=====

[6]
This record from Alexandria describes a relaxed structure of Na2Pu3NpSe6. The functional is PBE-GGA.

Values from the calculation:
As for the space-group type: C2/m. The calculation puts the energy relative to the elements, uncorrected at -343 meV/atom. Its crystal system is monoclinic.

Lattice parameters (Å, degrees): 15.3501 15.3501 5.9994 94.75 94.75 13.79
Fractional positions:
Na 0.1750 0.1750 0.2779
Na 0.8250 0.8250 0.7221
Pu 0.4195 0.4195 0.1891
Pu 0.5000 0.5000 0.5000
Pu 0.5805 0.5805 0.8109
Np 0.5000 0.5000 0.0000
Se 0.2776 0.2776 0.3956
Se 0.3310 0.3310 0.1107
Se 0.4200 0.4200 0.7069
Se 0.5800 0.5800 0.2931
Se 0.6690 0.6690 0.8893
Se 0.7224 0.7224 0.6044

=====

no.,density (g/cm³),total magnetization (μB per cell)
1,11.2,0.0
2,8.2,0.0
3,10.4,0.0
4,11.3,0.0
5,7.7,6.4
6,7.4,13.1